Record 1
# Nd3HgO2, optimized geometry, DFT PBE
data_Nd3HgO2
_chemical_formula_sum 'Nd6 Hg2 O4'
_space_group_name_H-M_alt 'I m m m'
_space_group_IT_number 71
_space_group_name_Hall '-I 2 2'
_cell_length_a 4.3968
_cell_length_b 4.9745
_cell_length_c 12.1700
_cell_angle_alpha 90.00
_cell_angle_beta 90.00
_cell_angle_gamma 90.00
loop_
_atom_site_label
_atom_site_fract_x
_atom_site_fract_y
_atom_site_fract_z
_atom_site_occupancy
Nd1 0.0000 0.0000 0.0000 1
Nd2 0.0000 0.5000 0.2281 1
Hg1 0.0000 0.0000 0.5000 1
O1 0.0000 0.0000 0.1985 1
# Formation energy without anion corrections ... -2.0072 eV per atom
# Size of the total moment ... 0.000 μB per formula unit
# Crystal system ... orthorhombic

Record 2
# K2InSi2, optimized geometry, DFT PBE
data_K2InSi2
_chemical_formula_sum 'K4 In2 Si4'
_space_group_name_H-M_alt 'I 4/m m m'
_space_group_IT_number 139
_space_group_name_Hall '-I 4 2'
_cell_length_a 5.1188
_cell_length_b 5.1188
_cell_length_c 13.0618
_cell_angle_alpha 90.00
_cell_angle_beta 90.00
_cell_angle_gamma 90.00
loop_
_atom_site_label
_atom_site_fract_x
_atom_site_fract_y
_atom_site_fract_z
_atom_site_occupancy
K1 0.0000 0.5000 0.2500 1
In1 0.0000 0.0000 0.0000 1
Si1 0.0000 0.0000 0.4175 1
# Polymorph energy (0 for the lowest one) ... 43 meV per atom
# Formation energy without anion corrections ... 0.3662 eV per atom
# Size of the total moment ... 0.000 μB per formula unit
# Crystal system ... tetragonal

Record 3
# CrFeGe, optimized geometry, DFT PBE
data_CrFeGe
_chemical_formula_sum 'Cr2 Fe2 Ge2'
_space_group_name_H-M_alt 'I 4 m m'
_space_group_IT_number 107
_space_group_name_Hall 'I 4 -2'
_cell_length_a 2.7555
_cell_length_b 2.7555
_cell_length_c 9.4008
_cell_angle_alpha 90.00
_cell_angle_beta 90.00
_cell_angle_gamma 90.00
loop_
_atom_site_label
_atom_site_fract_x
_atom_site_fract_y
_atom_site_fract_z
_atom_site_occupancy
Cr1 0.0000 0.0000 0.0000 1
Fe1 0.0000 0.0000 0.3370 1
Ge1 0.0000 0.0000 0.6776 1
# Size of the total moment ... 0.029 μB per formula unit
# DFT formation energy ... 0.08 eV per atom
# Crystal system ... tetragonal

Record 4
# Tb2Nd2Sm2Cd, optimized geometry, DFT PBE
data_Tb2Nd2Sm2Cd
_chemical_formula_sum 'Tb4 Nd4 Sm4 Cd2'
_space_group_name_H-M_alt 'C 1 2/m 1'
_space_group_IT_number 12
_cell_length_a 17.4996
_cell_length_b 3.4704
_cell_length_c 8.3274
_cell_angle_alpha 90.00
_cell_angle_beta 116.87
_cell_angle_gamma 90.00
loop_
_space_group_symop_operation_xyz
'x,y,z'
'-x,-y,-z'
'-x,y,-z'
'x,-y,z'
'x+1/2,y+1/2,z'
'-x+1/2,-y+1/2,-z'
'-x+1/2,y+1/2,-z'
'x+1/2,-y+1/2,z'
loop_
_atom_site_label
_atom_site_fract_x
_atom_site_fract_y
_atom_site_fract_z
_atom_site_occupancy
Tb1 0.0661 0.0000 0.3861 1
Nd1 0.1433 0.0000 0.8908 1
Sm1 0.2215 0.5000 0.3045 1
Cd1 0.0000 0.5000 0.0000 1
# Size of the total moment ... 0.000 μB per formula unit
# DFT formation energy ... 0.10 eV per atom
# Crystal system ... monoclinic

Record 5
# ZrTi2Bi, optimized geometry, DFT PBE
data_ZrTi2Bi
_chemical_formula_sum 'Zr2 Ti4 Bi2'
_space_group_name_H-M_alt 'P 1 21/m 1'
_space_group_IT_number 11
_cell_length_a 4.0028
_cell_length_b 4.0092
_cell_length_c 10.6535
_cell_angle_alpha 90.00
_cell_angle_beta 100.81
_cell_angle_gamma 90.00
loop_
_space_group_symop_operation_xyz
'x,y,z'
'-x,-y,-z'
'-x,y+1/2,-z'
'x,-y+1/2,z'
loop_
_atom_site_label
_atom_site_fract_x
_atom_site_fract_y
_atom_site_fract_z
_atom_site_occupancy
Zr1 0.2004 0.2500 0.4017 1
Ti1 0.0482 0.7500 0.0971 1
Ti2 0.4516 0.7500 0.9025 1
Bi1 0.3468 0.2500 0.6927 1
# Size of the total moment ... 0.000 μB per formula unit
# DFT formation energy ... -0.24 eV per atom
# Crystal system ... monoclinic

Record 6
# TlCo2Tc, optimized geometry, DFT PBE
data_TlCo2Tc
_chemical_formula_sum 'Tl1 Co2 Tc1'
_space_group_name_H-M_alt 'P 4/m m m'
_space_group_IT_number 123
_space_group_name_Hall '-P 4 2'
_cell_length_a 4.2426
_cell_length_b 4.2426
_cell_length_c 3.2464
_cell_angle_alpha 90.00
_cell_angle_beta 90.00
_cell_angle_gamma 90.00
loop_
_atom_site_label
_atom_site_fract_x
_atom_site_fract_y
_atom_site_fract_z
_atom_site_occupancy
Tl1 0.0000 0.0000 0.0000 1
Co1 0.0000 0.5000 0.5000 1
Tc1 0.5000 0.5000 0.0000 1
# Polymorph energy (0 for the lowest one) ... 132 meV per atom
# Size of the total moment ... 4.052 μB per formula unit
# DFT formation energy ... 0.54 eV per atom
# Crystal system ... tetragonal

Record 7
# Ac2P2S, optimized geometry, DFT PBE
data_Ac2P2S
_chemical_formula_sum 'Ac4 P4 S2'
_space_group_name_H-M_alt 'C 1 2/m 1'
_space_group_IT_number 12
_cell_length_a 7.7580
_cell_length_b 4.9904
_cell_length_c 7.6711
_cell_angle_alpha 90.00
_cell_angle_beta 100.90
_cell_angle_gamma 90.00
loop_
_space_group_symop_operation_xyz
'x,y,z'
'-x,-y,-z'
'-x,y,-z'
'x,-y,z'
'x+1/2,y+1/2,z'
'-x+1/2,-y+1/2,-z'
'-x+1/2,y+1/2,-z'
'x+1/2,-y+1/2,z'
loop_
_atom_site_label
_atom_site_fract_x
_atom_site_fract_y
_atom_site_fract_z
_atom_site_occupancy
Ac1 0.1938 0.0000 0.2440 1
P1 0.0000 0.2749 0.5000 1
S1 0.0000 0.5000 0.0000 1
# Formation energy without anion corrections ... -1.3190 eV per atom
# Size of the total moment ... 0.000 μB per formula unit
# Crystal system ... monoclinic

Record 8
# PaZn2Pt2, optimized geometry, DFT PBE
data_PaZn2Pt2
_chemical_formula_sum 'Pa2 Zn4 Pt4'
_space_group_name_H-M_alt 'I m m m'
_space_group_IT_number 71
_space_group_name_Hall '-I 2 2'
_cell_length_a 4.5753
_cell_length_b 6.1709
_cell_length_c 6.3659
_cell_angle_alpha 90.00
_cell_angle_beta 90.00
_cell_angle_gamma 90.00
loop_
_atom_site_label
_atom_site_fract_x
_atom_site_fract_y
_atom_site_fract_z
_atom_site_occupancy
Pa1 0.0000 0.0000 0.0000 1
Zn1 0.0000 0.5000 0.1900 1
Pt1 0.0000 0.2128 0.5000 1
# Polymorph energy (0 for the lowest one) ... 54 meV per atom
# Size of the total moment ... 0.000 μB per formula unit
# DFT formation energy ... -0.62 eV per atom
# Crystal system ... orthorhombic

Record 9
# Na3Dy3SbO8, optimized geometry, DFT PBE
data_Na3Dy3SbO8
_chemical_formula_sum 'Na9 Dy9 Sb3 O24'
_space_group_name_H-M_alt 'R -3 m'
_space_group_IT_number 166
_space_group_name_Hall '-R 3 2"'
_cell_length_a 6.8184
_cell_length_b 6.8184
_cell_length_c 16.8196
_cell_angle_alpha 90.00
_cell_angle_beta 90.00
_cell_angle_gamma 120.00
loop_
_atom_site_label
_atom_site_fract_x
_atom_site_fract_y
_atom_site_fract_z
_atom_site_occupancy
Na1 0.0000 0.5000 0.0000 1
Dy1 0.0000 0.5000 0.5000 1
Sb1 0.0000 0.0000 0.5000 1
O1 0.0000 0.0000 0.2356 1
O2 0.0208 0.5104 0.2333 1
# Formation energy without anion corrections ... -2.4887 eV per atom
# Size of the total moment ... 0.000 μB per formula unit
# Crystal system ... trigonal

Record 10
# ReCl2O2, optimized geometry, DFT PBE
data_ReCl2O2
_chemical_formula_sum 'Re4 Cl8 O8'
_space_group_name_H-M_alt 'C 1 2/m 1'
_space_group_IT_number 12
_cell_length_a 8.4195
_cell_length_b 10.1425
_cell_length_c 7.3972
_cell_angle_alpha 90.00
_cell_angle_beta 120.10
_cell_angle_gamma 90.00
loop_
_space_group_symop_operation_xyz
'x,y,z'
'-x,-y,-z'
'-x,y,-z'
'x,-y,z'
'x+1/2,y+1/2,z'
'-x+1/2,-y+1/2,-z'
'-x+1/2,y+1/2,-z'
'x+1/2,-y+1/2,z'
loop_
_atom_site_label
_atom_site_fract_x
_atom_site_fract_y
_atom_site_fract_z
_atom_site_occupancy
Re1 0.0000 0.1161 0.0000 1
Cl1 0.0325 0.2727 0.2352 1
O1 0.1335 0.0000 0.9021 1
O2 0.1806 0.0000 0.2295 1
# Formation energy without anion corrections ... -0.6195 eV per atom
# Size of the total moment ... 0.483 μB per formula unit
# Crystal system ... monoclinic

Record 11
# InAsPd3, optimized geometry, DFT PBE
data_InAsPd3
_chemical_formula_sum 'In1 As1 Pd3'
_space_group_name_H-M_alt 'P m -3 m'
_space_group_IT_number 221
_space_group_name_Hall '-P 4 2 3'
_cell_length_a 4.6843
_cell_length_b 4.6843
_cell_length_c 4.6843
_cell_angle_alpha 90.00
_cell_angle_beta 90.00
_cell_angle_gamma 90.00
loop_
_atom_site_label
_atom_site_fract_x
_atom_site_fract_y
_atom_site_fract_z
_atom_site_occupancy
In1 0.0000 0.0000 0.0000 1
As1 0.5000 0.5000 0.5000 1
Pd1 0.0000 0.5000 0.5000 1
# Polymorph energy (0 for the lowest one) ... 363 meV per atom
# Size of the total moment ... 0.000 μB per formula unit
# DFT formation energy ... -0.03 eV per atom
# Crystal system ... cubic

Record 12
# Tm2MgTl9, optimized geometry, DFT PBE
data_Tm2MgTl9
_chemical_formula_sum 'Tm2 Mg1 Tl9'
_space_group_name_H-M_alt 'P 4/m m m'
_space_group_IT_number 123
_space_group_name_Hall '-P 4 2'
_cell_length_a 4.7608
_cell_length_b 4.7608
_cell_length_c 14.3105
_cell_angle_alpha 90.00
_cell_angle_beta 90.00
_cell_angle_gamma 90.00
loop_
_atom_site_label
_atom_site_fract_x
_atom_site_fract_y
_atom_site_fract_z
_atom_site_occupancy
Tm1 0.0000 0.0000 0.1612 1
Mg1 0.0000 0.0000 0.5000 1
Tl1 0.0000 0.5000 0.0000 1
Tl2 0.0000 0.5000 0.3345 1
Tl3 0.5000 0.5000 0.1677 1
Tl4 0.5000 0.5000 0.5000 1
# Size of the total moment ... 0.000 μB per formula unit
# DFT formation energy ... -0.09 eV per atom
# Crystal system ... tetragonal

Number 1: total energy -6.09 eV/atom, DOS at the Fermi energy 7.12 states/eV per cell. Number 2: total energy -2.79 eV/atom, DOS at the Fermi energy 8.66 states/eV per cell. Number 3: total energy -7.48 eV/atom, DOS at the Fermi energy 4.51 states/eV per cell. Number 4: total energy -4.07 eV/atom, DOS at the Fermi energy 19.95 states/eV per cell. Number 5: total energy -7.29 eV/atom, DOS at the Fermi energy 6.70 states/eV per cell. Number 6: total energy -6.19 eV/atom, DOS at the Fermi energy 2.51 states/eV per cell. Number 7: total energy -5.95 eV/atom, DOS at the Fermi energy 1.23 states/eV per cell. Number 8: total energy -5.45 eV/atom, DOS at the Fermi energy 7.76 states/eV per cell. Number 9: total energy -6.59 eV/atom, DOS at the Fermi energy 4.14 states/eV per cell. Number 10: total energy -5.83 eV/atom, DOS at the Fermi energy 16.03 states/eV per cell. Number 11: total energy -4.62 eV/atom, DOS at the Fermi energy 1.22 states/eV per cell. Number 12: total energy -2.74 eV/atom, DOS at the Fermi energy 6.83 states/eV per cell.